The following is a DFT calculation (PBE-GGA) of a relaxed structure of Hf2OsC.

The calculation puts the spin magnetization at 0.00 μB/atom. The density of states at the Fermi level is 1.862 states/eV/f.u. The calculation puts the formation energy at 176 meV/atom.

The space group is I-42d (No. 122) and the conventional cell measures 6.4458, 6.4458 and 6.4936 Å, with angles of 90.00, 90.00 and 90.00 degrees. The distinct sites, in fractional coordinates, are Hf at (0.1893, 0.2500, 0.1250), Os at (0.0000, 0.0000, 0.5000) and C at (0.0000, 0.0000, 0.0000).